# 1
# Ac6PdRuPt2 | the Alexandria database | PBE | relaxed
data_Ac6PdRuPt2
_space_group_name_H-M_alt 'P 1'
_space_group_IT_number 1
_space_group_name_Hall 'P 1'
_cell_length_a 7.559
_cell_length_b 7.563
_cell_length_c 8.299
_cell_angle_alpha 90.07
_cell_angle_beta 117.07
_cell_angle_gamma 119.90
loop_
_atom_site_label
_atom_site_type_symbol
_atom_site_fract_x
_atom_site_fract_y
_atom_site_fract_z
_atom_site_occupancy
Ac1 Ac 0.000 0.000 0.000 1
Ac2 Ac 0.001 0.830 0.485 1
Ac3 Ac 0.339 0.487 0.486 1
Ac4 Ac 0.368 0.685 0.000 1
Ac5 Ac 0.682 0.168 0.485 1
Ac6 Ac 0.685 0.317 0.000 1
Pd1 Pd 0.852 0.584 0.752 1
Ru1 Ru 0.857 0.087 0.259 1
Pt1 Pt 0.501 0.909 0.725 1
Pt2 Pt 0.504 0.411 0.231 1
# crystal system	triclinic
# Fermi-level density of states	7.0	states/eV per cell
# size of the total moment	0.0	μB per cell
# energy relative to the elements	-6.8	eV per formula unit



# 2
# AcSbPdPt | the Alexandria database | PBE | relaxed
data_AcSbPdPt
_space_group_name_H-M_alt 'F -4 3 m'
_space_group_IT_number 216
_space_group_name_Hall 'F -4 2 3'
_cell_length_a 7.201
_cell_length_b 7.201
_cell_length_c 7.201
_cell_angle_alpha 90.00
_cell_angle_beta 90.00
_cell_angle_gamma 90.00
loop_
_atom_site_label
_atom_site_type_symbol
_atom_site_fract_x
_atom_site_fract_y
_atom_site_fract_z
_atom_site_occupancy
Ac1 Ac 0.000 0.000 0.000 1
Sb1 Sb 0.000 0.000 0.500 1
Pd1 Pd 0.250 0.250 0.250 1
Pt1 Pt 0.250 0.250 0.750 1
# crystal system	cubic
# Fermi-level density of states	13.0	states/eV per cell
# size of the total moment	0.0	μB per cell
# formation energy without anion corrections	-685	meV/atom



# 3
# AcSb2Pd4Pt | the Alexandria database | PBE | relaxed
data_AcSb2Pd4Pt
_space_group_name_H-M_alt 'R -3 m'
_space_group_IT_number 166
_space_group_name_Hall '-R 3 2"'
_cell_length_a 4.5348
_cell_length_b 4.5348
_cell_length_c 27.8769
_cell_angle_alpha 90.00
_cell_angle_beta 90.00
_cell_angle_gamma 120.00
loop_
_atom_site_label
_atom_site_type_symbol
_atom_site_fract_x
_atom_site_fract_y
_atom_site_fract_z
_atom_site_occupancy
Ac1 Ac 0.0000 0.0000 0.0000 1
Sb1 Sb 0.0000 0.0000 0.2352 1
Pd1 Pd 0.0000 0.0000 0.1315 1
Pd2 Pd 0.0000 0.0000 0.4008 1
Pt1 Pt 0.0000 0.0000 0.5000 1
# crystal system	trigonal
# Fermi-level density of states	20.3	states/eV per cell
# size of the total moment	0.0	μB per cell
# formation energy without anion corrections	-506	meV/atom



# 4
# Ac2Sb4Pd3Pt | the Alexandria database | PBE | relaxed
data_Ac2Sb4Pd3Pt
_space_group_name_H-M_alt 'P -4 m 2'
_space_group_IT_number 115
_space_group_name_Hall 'P -4 -2'
_cell_length_a 4.777
_cell_length_b 4.777
_cell_length_c 10.563
_cell_angle_alpha 90.00
_cell_angle_beta 90.00
_cell_angle_gamma 90.00
loop_
_atom_site_label
_atom_site_type_symbol
_atom_site_fract_x
_atom_site_fract_y
_atom_site_fract_z
_atom_site_occupancy
Ac1 Ac 0.000 0.500 0.240 1
Sb1 Sb 0.000 0.000 0.500 1
Sb2 Sb 0.000 0.500 0.874 1
Sb3 Sb 0.500 0.500 0.500 1
Pd1 Pd 0.000 0.000 0.000 1
Pd2 Pd 0.000 0.500 0.623 1
Pt1 Pt 0.500 0.500 0.000 1
# crystal system	tetragonal
# Fermi-level density of states	3.8	states/eV per cell
# size of the total moment	0.0	μB per cell
# formation energy without anion corrections	-893	meV/atom



# 5
# AcScPdPt | the Alexandria database | PBE | relaxed
data_AcScPdPt
_space_group_name_H-M_alt 'F -4 3 m'
_space_group_IT_number 216
_space_group_name_Hall 'F -4 2 3'
_cell_length_a 7.163
_cell_length_b 7.163
_cell_length_c 7.163
_cell_angle_alpha 90.00
_cell_angle_beta 90.00
_cell_angle_gamma 90.00
loop_
_atom_site_label
_atom_site_type_symbol
_atom_site_fract_x
_atom_site_fract_y
_atom_site_fract_z
_atom_site_occupancy
Ac1 Ac 0.000 0.000 0.000 1
Sc1 Sc 0.000 0.000 0.500 1
Pd1 Pd 0.250 0.250 0.250 1
Pt1 Pt 0.250 0.250 0.750 1
# crystal system	cubic
# Fermi-level density of states	16.1	states/eV per cell
# size of the total moment	0.0	μB per cell
# energy relative to the elements	-3.1	eV per formula unit



# 6
# Ac6PdPt2Se3 | the Alexandria database | PBE | relaxed
data_Ac6PdPt2Se3
_space_group_name_H-M_alt 'C 1 2/m 1'
_space_group_IT_number 12
_space_group_name_Hall '-C 2y'
_cell_length_a 20.049
_cell_length_b 4.357
_cell_length_c 9.283
_cell_angle_alpha 90.00
_cell_angle_beta 108.20
_cell_angle_gamma 90.00
loop_
_atom_site_label
_atom_site_type_symbol
_atom_site_fract_x
_atom_site_fract_y
_atom_site_fract_z
_atom_site_occupancy
Ac1 Ac 0.005 0.000 0.240 1
Ac2 Ac 0.163 0.500 0.097 1
Ac3 Ac 0.172 0.500 0.569 1
Pd1 Pd 0.000 0.500 0.000 1
Pt1 Pt 0.166 0.000 0.332 1
Se1 Se 0.000 0.500 0.500 1
Se2 Se 0.166 0.000 0.833 1
# crystal system	monoclinic
# Fermi-level density of states	6.1	states/eV per cell
# size of the total moment	0.0	μB per cell
# formation energy without anion corrections	-1447	meV/atom